## Cr2SnBrCl (SCAN)

Data for a PBEsol-optimized structure of Cr2SnBrCl.

## Properties
- Density of states at the Fermi level: 0.430 states/eV/atom
- Mass density: 3.97 Mg/m³
- Energy relative to the elements, uncorrected: 0.303 eV/atom
- Space group: P4/mmm, No. 123
- V: 141.5 Å³ per cell
- Total DFT energy (no corrections): -19.723 eV per atom

a b c (Å): 5.085 5.275 5.275
angles (deg): 90.00 90.00 90.00
Each line ends with the local moment (μB).
Fractional coordinates of all 5 atoms:
Cr 0.000 0.000 0.500  3.99
Cr 0.000 0.500 0.000  3.99
Sn 0.000 0.000 0.000  -0.17
Br 0.500 0.500 0.500  -0.06
Cl 0.500 0.000 0.000  0.01